No. 1
Material: HPtIO2
Method: DFT, PBE
State: optimized geometry

abc: 3.723 3.723 8.498
angles: 90.00 90.00 90.00
Space group P4/mmm (No. 123)
Asymmetric unit:
H 0.000 0.000 0.000 [1 per cell]
Pt 0.500 0.500 0.500 [1 per cell]
I 0.500 0.500 0.000 [1 per cell]
O 0.000 0.500 0.500 [2 per cell]



No. 2
Material: CaDy4ScSe8
Method: DFT, PBE
State: optimized geometry

abc: 8.4347 8.4347 20.2640
angles: 90.00 90.00 120.00
Space group R3m (No. 160, hexagonal axes)
Asymmetric unit:
Ca 0.0000 0.0000 0.0000 [3 per cell]
Dy 0.0000 0.0000 0.2444 [3 per cell]
Dy 0.1697 0.3394 0.4545 [9 per cell]
Sc 0.0000 0.0000 0.6244 [3 per cell]
Se 0.0000 0.0000 0.3789 [3 per cell]
Se 0.0000 0.0000 0.8630 [3 per cell]
Se 0.0335 0.5167 0.3717 [9 per cell]
Se 0.1805 0.3610 0.2055 [9 per cell]

Output
raw formation energy = -1.765 eV/atom



No. 3
Material: HoErRu2
Method: DFT, PBE
State: optimized geometry

abc: 3.377 3.377 6.754
angles: 90.00 90.00 90.00
Space group P4/mmm (No. 123)
Asymmetric unit:
Ho 0.000 0.000 0.000 [1 per cell]
Er 0.000 0.000 0.500 [1 per cell]
Ru 0.500 0.500 0.251 [2 per cell]

Output
ΔH_f (0 K) = -144 kJ/mol of formula units



no.,E_tot (eV/cell)
1,-19.21
2,-238.00
3,-29.18